No. 1
7
Lattice="6.113 0.000 0.000 0.000 6.113 0.000 3.057 3.057 7.772" Properties=species:S:1:pos:R:3 comment="PBE Na2Tl4Se, optimized geometry" dos_ef_per_ev_atom=0.618 raw_formation_energy_ev_per_fu=0.2 volume_a3_per_cell=290.46 pbc="T T T"
Se 0.000 0.000 0.000
Tl 0.000 3.057 0.000
Tl 3.057 3.057 5.006
Tl 3.057 0.000 0.000
Tl 6.113 6.113 2.766
Na 6.113 6.113 6.001
Na 3.057 3.057 1.770



No. 2
8
Lattice="7.487 0.000 0.954 2.388 5.337 -2.629 -2.388 5.337 2.629" Properties=species:S:1:pos:R:3 comment="PBE NaTlSe2, optimized geometry" dos_ef_per_ev_atom=0.000 raw_formation_energy_ev_per_fu=-2.0 volume_a3_per_cell=234.36 pbc="T T T"
Tl 3.066 4.383 -1.076
Tl 4.421 6.291 2.030
Se 6.107 3.814 0.390
Se 1.379 6.860 0.564
Se 2.364 1.523 -0.087
Se 5.123 9.151 1.041
Na 6.809 6.702 -0.599
Na 0.678 3.972 1.553



No. 3
16
Lattice="15.788 0.000 -0.153 0.000 5.611 0.000 -5.673 0.000 6.003" Properties=species:S:1:pos:R:3 comment="PBE NaTlSe2, optimized geometry" dos_ef_per_ev_atom=0.000 raw_formation_energy_ev_per_fu=-2.0 volume_a3_per_cell=526.88 pbc="T T T"
Tl 1.695 2.227 3.431
Tl -2.311 5.032 5.498
Tl 8.420 3.384 2.420
Tl 12.426 0.579 0.353
Na 11.006 2.110 4.506
Na 4.166 4.915 4.270
Na 5.949 0.695 1.581
Na -0.891 3.500 1.345
Se 12.131 3.115 2.001
Se 1.401 5.301 5.079
Se 5.289 3.434 1.890
Se 10.346 4.982 4.815
Se 4.826 2.177 3.961
Se 8.714 0.309 0.772
Se -0.231 0.628 1.035
Se -2.016 2.496 3.850